First-principles (meta-GGA SCAN) data for a crystal of Ni3B2O6 relaxed with PBEsol, as listed in the Alexandria database.

magnetization: 0.5455 μB per atom
raw total energy: -243.68 eV per cell
E_form (uncorrected): -1.92 eV per atom

Cell: 4.409 5.353 8.229 Å, 90.00 90.00 90.00°
Site moments in Bohr magnetons follow the coordinates.
Element x y z (fractional)
B 0.958 0.755 0.500  0.01
B 0.458 0.745 0.000  0.01
B 0.542 0.255 0.000  0.01
B 0.042 0.245 0.500  0.01
O 0.796 0.701 0.358  0.14
O 0.242 0.327 0.000  0.12
O 0.204 0.299 0.358  0.14
O 0.742 0.173 0.500  0.12
O 0.258 0.827 0.500  0.12
O 0.758 0.673 0.000  0.12
O 0.296 0.799 0.858  0.14
O 0.296 0.799 0.142  0.14
O 0.796 0.701 0.642  0.14
O 0.704 0.201 0.142  0.14
O 0.704 0.201 0.858  0.14
O 0.204 0.299 0.642  0.14
Ni 0.000 0.500 0.816  1.70
Ni 0.500 0.000 0.684  1.70
Ni 0.000 0.500 0.184  1.70
Ni 0.000 0.000 0.000  1.65
Ni 0.500 0.500 0.500  1.65
Ni 0.500 0.000 0.316  1.70


First-principles (meta-GGA SCAN) data for a crystal of KReCl2 relaxed with PBEsol, as listed in the Alexandria database.

energy above the most stable polymorph in this dataset: 25.3 meV per atom
magnetization: 1.1190 μB per atom
raw total energy: -94.48 eV per cell
E_form (uncorrected): 0.22 eV per atom

Cell: 3.154 5.182 5.182 Å, 90.00 90.00 90.00°
Site moments in Bohr magnetons follow the coordinates.
Element x y z (fractional)
Cl 0.000 0.500 0.000  0.09
Cl 0.000 0.000 0.500  0.09
Re 0.500 0.000 0.000  3.29
K 0.500 0.500 0.500  0.01


First-principles (meta-GGA SCAN) data for a crystal of LaSc5 relaxed with PBEsol, as listed in the Alexandria database.

energy above the most stable polymorph in this dataset: 5.0 meV per atom
magnetization: 0.2879 μB per atom
DFT formation energy: 57 meV/atom
raw total energy: -113.95 eV per cell

Cell: 3.334 5.242 8.804 Å, 90.00 100.92 90.00°
Site moments in Bohr magnetons follow the coordinates.
Element x y z (fractional)
Sc 0.671 0.000 0.341  0.14
Sc 0.559 0.500 0.117  0.10
Sc 0.884 0.500 0.769  0.21
Sc 0.224 0.500 0.448  0.27
Sc 0.328 0.000 0.655  0.21
La 0.002 0.000 0.003  0.07


> Look up the raw total energy of the third one.

-113.95 eV per cell


> What is the raw total energy in the third record?

-113.95 eV per cell